## Ce3ThZr2N6 (PBE-GGA)

Data for crystalline Ce3ThZr2N6 at its relaxed geometry.

Output
density = 8535 kg/m3
uncorrected formation energy = -153.3 kJ/mol of atoms
D(E_F) = 0.57 states/eV/atom
VASP energy = -9.278 eV per atom
spin magnetization = 0.00 μB per formula unit

Lattice parameters (Å, degrees): 6.0133 6.0133 6.0471 99.53 99.53 119.97
Atoms (fractional coordinates):
Ce (0.0000, 0.0000, 0.0000)
Ce (0.3333, 0.6667, 0.0000)
Ce (0.6667, 0.3333, 0.0000)
Th (0.5000, 0.5000, 0.5000)
Zr (0.1665, 0.8335, 0.5000)
Zr (0.8335, 0.1665, 0.5000)
N (0.0724, 0.4224, 0.2678)
N (0.2253, 0.2253, 0.7284)
N (0.4224, 0.0724, 0.2678)
N (0.5776, 0.9276, 0.7322)
N (0.7747, 0.7747, 0.2716)
N (0.9276, 0.5776, 0.7322)